## Ba4NiRu (SCAN)

Data for a PBEsol-optimized structure of Ba4NiRu.

Cell: 9.267 9.267 9.267 Å, 90.00 90.00 90.00°
Space group F-43m (No. 216)
Inequivalent atoms, fractional coordinates:
Ba1 0.125 0.125 0.125
Ni1 0.250 0.250 0.750
Ru1 0.000 0.000 0.500

Values from the calculation:
Crystal system ... cubic
DFT total energy ... -803.12 eV per cell